The following is a DFT calculation (PBE) of Ho4TcHg after structural relaxation.

abc: 7.694 6.857 6.627
angles: 90.00 90.21 90.00
Space group P2_1/c (No. 14)
Unique sites:
Ho 0.140 0.148 0.342
Ho 0.294 0.650 0.358
Tc 0.000 0.000 0.000
Hg 0.500 0.000 0.500

Properties
Energy of formation from the pure elements = -0.056 eV/atom
Relative energy among the computed polymorphs = 0.214 eV per atom
M_tot = 0.00 Bohr magnetons per cell
Crystal system = monoclinic
Density = 9.104 g/cm³

---

The following is a DFT calculation (PBE) of Ho5TcHg2 after structural relaxation.

abc: 6.768 12.163 4.990
angles: 90.00 90.00 90.00
Space group Pbam (No. 55)
Unique sites:
Ho 0.000 0.000 0.000
Ho 0.134 0.289 0.000
Ho 0.167 0.594 0.500
Tc 0.000 0.500 0.000
Hg 0.106 0.849 0.500

Properties
Energy of formation from the pure elements = -0.279 eV/atom
M_tot = 0.00 Bohr magnetons per cell
Crystal system = orthorhombic
Density = 10.703 g/cm³

---

The following is a DFT calculation (PBE) of Ho6Tc2Hg after structural relaxation.

abc: 9.495 9.513 10.252
angles: 90.00 90.00 90.00
Space group Immm (No. 71)
Unique sites:
Ho 0.000 0.206 0.182
Ho 0.189 0.218 0.500
Ho 0.210 0.500 0.265
Tc 0.000 0.000 0.383
Tc 0.131 0.000 0.000
Hg 0.000 0.500 0.000
Hg 0.000 0.500 0.500

Properties
Energy of formation from the pure elements = -0.182 eV/atom
M_tot = 0.00 Bohr magnetons per cell
Crystal system = orthorhombic
Density = 9.943 g/cm³

---

The following is a DFT calculation (PBE) of Ho8TcHg2 after structural relaxation.

abc: 17.393 5.275 6.906
angles: 90.00 109.43 90.00
Space group C2/m (No. 12)
Unique sites:
Ho 0.023 0.000 0.291
Ho 0.092 0.500 0.926
Ho 0.155 0.500 0.454
Ho 0.195 0.000 0.790
Tc 0.000 0.500 0.500
Hg 0.184 0.000 0.207

Properties
Energy of formation from the pure elements = -0.213 eV/atom
Relative energy among the computed polymorphs = 0.000 eV per atom
M_tot = 0.00 Bohr magnetons per cell
Crystal system = monoclinic
Density = 10.108 g/cm³

---

The following is a DFT calculation (PBE) of Ho4TcHg after structural relaxation.

abc: 8.481 12.606 6.268
angles: 90.00 105.63 90.00
Space group C2/c (No. 15)
Unique sites:
Ho 0.105 0.171 0.042
Ho 0.217 0.420 0.405
Tc 0.000 0.001 0.250
Hg 0.000 0.373 0.750

Properties
Energy of formation from the pure elements = -0.270 eV/atom
Relative energy among the computed polymorphs = 0.000 eV per atom
M_tot = 0.00 Bohr magnetons per cell
Crystal system = monoclinic
Density = 9.864 g/cm³

---

The following is a DFT calculation (PBE) of Ho8TcHg2 after structural relaxation.

abc: 5.044 8.355 14.024
angles: 90.00 90.00 90.00
Space group Immm (No. 71)
Unique sites:
Ho 0.000 0.000 0.122
Ho 0.000 0.231 0.351
Ho 0.000 0.329 0.000
Tc 0.000 0.500 0.500
Hg 0.000 0.500 0.200

Properties
Energy of formation from the pure elements = -0.096 eV/atom
Relative energy among the computed polymorphs = 0.117 eV per atom
M_tot = 0.00 Bohr magnetons per cell
Crystal system = orthorhombic
Density = 10.220 g/cm³

---

The following is a DFT calculation (PBE) of Ho6TcHg after structural relaxation.

abc: 6.711 6.748 7.518
angles: 90.35 116.06 119.81
Space group P-1 (No. 2)
Unique sites:
Ho 0.034 0.082 0.262
Ho 0.310 0.728 0.261
Ho 0.316 0.546 0.739
Tc 0.500 0.500 0.500
Hg 0.500 0.000 0.000

Properties
Energy of formation from the pure elements = 0.069 eV/atom
M_tot = 0.00 Bohr magnetons per cell
Crystal system = triclinic
Density = 8.417 g/cm³

---

The following is a DFT calculation (PBE) of Ho3Th3TcHg2 after structural relaxation.

abc: 8.5929 8.5929 3.8761
angles: 90.00 90.00 120.00
Space group P-62m (No. 189)
Unique sites:
Ho 0.0000 0.4024 0.0000
Th 0.0000 0.7542 0.5000
Tc 0.0000 0.0000 0.0000
Hg 0.3333 0.6667 0.5000

Properties
Energy of formation from the pure elements = -0.251 eV/atom
M_tot = 0.00 Bohr magnetons per cell
Crystal system = hexagonal
Density = 11.323 g/cm³

---

Going through the records in order, we get VASP energy values of -58.6; -72.2; -200.5; -99.9; -122.4; -97.3; -37.6; -49.2 eV per cell.